Compound: ZnAs3Pd
Source: Alexandria
Functional: SCAN
Structure: PBEsol geometry

The structure belongs to space group Pm-3m (No. 221); the cell edges are 4.677, 4.677 and 4.677 Å and the angles 90.00°, 90.00° and 90.00°. The inequivalent atoms are Zn at (0.000, 0.000, 0.000), As at (0.000, 0.000, 0.500) and Pd at (0.500, 0.500, 0.500).

The total energy comes out at -1.50719 Ry per atom. For the formation energy, the calculation gives 866 meV/atom. The total moment comes out at 0.00 μB/atom.

=====

Compound: Sc6Al16Ir7
Source: Alexandria
Functional: SCAN
Structure: PBEsol geometry

The structure belongs to space group Fm-3m (No. 225); the cell edges are 12.268, 12.268 and 12.268 Å and the angles 90.00°, 90.00° and 90.00°. The inequivalent atoms are Sc at (0.000, 0.000, 0.208), Al at (0.120, 0.120, 0.380), Al at (0.165, 0.165, 0.165), Ir at (0.000, 0.000, 0.500) and Ir at (0.000, 0.250, 0.250).

The total energy comes out at -1.86952 Ry per atom. For the formation energy, the calculation gives -1052 meV/atom. The total moment comes out at 0.00 μB/atom.

=====

Compound: Sc2GaB2Ir5
Source: Alexandria
Functional: SCAN
Structure: PBEsol geometry

The structure belongs to space group P4/mbm (No. 127); the cell edges are 9.315, 9.315 and 3.039 Å and the angles 90.00°, 90.00° and 90.00°. The inequivalent atoms are Sc at (0.176, 0.324, 0.000), Ga at (0.000, 0.000, 0.000), B at (0.124, 0.624, 0.000), Ir at (0.000, 0.500, 0.500) and Ir at (0.070, 0.784, 0.500).

The total energy comes out at -3.12458 Ry per atom. For the formation energy, the calculation gives -995 meV/atom. The total moment comes out at 0.00 μB/atom.

=====

Compound: K3Au
Source: Alexandria
Functional: SCAN
Structure: PBEsol geometry

The structure belongs to space group Pnma (No. 62); the cell edges are 9.017, 10.470 and 7.302 Å and the angles 90.00°, 90.00° and 90.00°. The inequivalent atoms are K at (0.035, 0.250, 0.129), K at (0.167, 0.063, 0.656) and Au at (0.126, 0.750, 0.450).

The total energy comes out at -1.74575 Ry per atom. For the formation energy, the calculation gives -216 meV/atom. The total moment comes out at 0.00 μB/atom.